First-principles (PBE) data for a relaxed structure of Na5ZnAu2, as listed in the Alexandria database. Values from VASP.

Quantum ESPRESSO input file:
```
&SYSTEM
  ibrav = 0, nat = 16, ntyp = 3
/
ATOMIC_SPECIES
Au 196.97 Au.upf
Na 22.99 Na.upf
Zn 65.41 Zn.upf
CELL_PARAMETERS angstrom
5.116 0.000 0.000
-2.558 4.431 0.000
0.000 0.000 18.818
ATOMIC_POSITIONS angstrom
Au 0.000 2.954 7.265
Na 0.000 2.954 10.315
Na 0.000 2.954 17.912
Na 0.000 0.000 16.086
Zn 2.558 1.477 14.113
Na 0.000 0.000 6.677
Na 0.000 0.000 12.141
Na 2.558 1.477 0.906
Na 0.000 2.954 14.113
Na 0.000 0.000 2.732
Na 2.558 1.477 8.503
Au 2.558 1.477 16.674
Zn 0.000 2.954 4.704
Au 0.000 2.954 2.144
Na 2.558 1.477 4.704
Au 2.558 1.477 11.553
```

Total DFT energy (no corrections) = -1.990 eV per atom
Energy relative to the elements = -0.187 eV/atom
Volume = 427 Å³ per cell
M_tot = 0.00 Bohr magnetons per cell